A relaxed PuMnCdIn crystal, computed with PBE.

The structure in POSCAR format:
```
PuMnCdIn
1.0
-3.544 -3.510 -0.865
1.347 -4.815 -0.793
-0.989 -3.516 3.506
In Mn Cd Pu
1 1 1 1
direct
0.500 0.500 0.500
0.250 0.250 0.250
0.750 0.750 0.750
0.000 0.000 0.000
```

- Formation energy from the elements: 0.284 eV/atom
- Energy: -6.505 eV per atom
- Fermi-level density of states: 15.4 states/eV per cell
- Volume: 91.75 Å³/f.u.